Record 1
Material: BeRh2Pb
Method: DFT, PBE-GGA
State: relaxed

## Properties
E_tot (eV per atom): -5.202
Excess energy over the best structure of this formula in the dataset (meV/atom): 439

Cell: 8.5876 8.5876 8.5876 Å, 20.23 20.23 20.23°
Last column: nearest neighbours and their distance in Å.
Sites, in units of the cell vectors:
1 Be 0.0000 0.0000 0.0000  3 Rh 2.26
2 Rh 0.2761 0.2761 0.2761  3 Be 2.26
3 Rh 0.5223 0.5223 0.5223  9 Rh 2.80-3.02, 3 Pb 2.85
4 Pb 0.7662 0.7662 0.7662  3 Rh 2.85, 6 Pb 3.02, 3 Be 3.06



Record 2
Material: EuY3Fe
Method: DFT, PBE-GGA
State: relaxed

## Properties
E_tot (eV per atom): -7.566

Cell: 5.3544 5.3544 5.3544 Å, 90.00 90.00 90.00°
Last column: nearest neighbours and their distance in Å.
Sites, in units of the cell vectors:
1 Eu 0.0000 0.0000 0.0000  12 Y 3.79
2 Y 0.0000 0.5000 0.5000  2 Fe 2.68
3 Y 0.5000 0.0000 0.5000  2 Fe 2.68
4 Y 0.5000 0.5000 0.0000  2 Fe 2.68
5 Fe 0.5000 0.5000 0.5000  6 Y 2.68



- Which value of E_tot does entry 1 give?
  -5.202 eV per atom